AcPaAs2 after structural relaxation. Source: Alexandria, functional PBE.

POSCAR file:
```
AcPaAs2
1.0
-1.243 2.922 2.827
-0.571 -4.132 0.822
12.935 -0.544 6.251
As Pa Ac
4 2 2
direct
0.333 0.667 0.391 As
0.667 0.333 0.609 As
0.667 0.333 0.891 As
0.333 0.667 0.109 As
0.000 0.000 0.000 Pa
0.000 0.000 0.500 Pa
0.333 0.667 0.750 Ac
0.667 0.333 0.250 Ac
```

## Properties
As for the crystal system: hexagonal. For the formation energy, the calculation gives -116.1 kJ/mol of atoms. Its total magnetization is 0.07 μB/atom. The space group is P6_3/mmc (194).